# 1
## Li2GaRh (PBE)

Data for an optimized crystal structure of Li2GaRh.

Structure (extended XYZ):
```
4
Lattice="-1.610 -1.642 -1.541 -1.957 -1.545 1.204 -7.384 5.978 -1.146" Properties=species:S:1:pos:R:3 pbc="T T T"
Li -5.632 3.988 -0.854
Li -5.318 -1.197 -0.630
Rh -5.475 1.396 -0.742
Ga 0.000 0.000 0.000
```

Properties
size of the total moment: 0.4 Bohr magnetons per cell
crystal system: trigonal
final energy: -3.64 eV/atom
DFT formation energy: -92 meV per atom

***

# 2
## LiGa6Rh5 (PBE)

Data for an optimized crystal structure of LiGa6Rh5.

Structure (extended XYZ):
```
12
Lattice="4.152 0.019 -1.209 -0.818 5.235 -2.726 -0.066 0.496 7.483" Properties=species:S:1:pos:R:3 pbc="T T T"
Ga 3.342 0.778 3.737
Ga 1.872 1.313 -1.283
Ga 2.935 3.388 2.378
Ga 1.396 4.437 4.832
Ga 0.333 2.362 1.171
Ga -0.075 4.972 -0.188
Rh 0.667 4.715 2.342
Rh 1.075 2.099 3.707
Rh -0.409 2.617 -1.363
Rh 2.193 3.651 -0.158
Rh 2.601 1.034 1.206
Li 0.000 0.000 0.000
```

Properties
size of the total moment: 0.0 Bohr magnetons per cell
crystal system: monoclinic
final energy: -5.37 eV/atom
DFT formation energy: -629 meV per atom

***

# 3
## LiGa5Rh4 (PBE)

Data for an optimized crystal structure of LiGa5Rh4.

Structure (extended XYZ):
```
10
Lattice="3.055 0.000 0.000 0.000 3.055 0.000 0.000 0.000 14.951" Properties=species:S:1:pos:R:3 pbc="T T T"
Ga 1.527 1.527 10.522
Ga 1.527 1.527 1.423
Ga 1.527 1.527 13.528
Ga 1.527 1.527 4.430
Ga 1.527 1.527 7.476
Rh 0.000 0.000 8.989
Rh 0.000 0.000 5.962
Rh 0.000 0.000 2.910
Rh 0.000 0.000 12.042
Li 0.000 0.000 0.000
```

Properties
size of the total moment: 0.0 Bohr magnetons per cell
crystal system: tetragonal
final energy: -5.26 eV/atom
DFT formation energy: -610 meV per atom

***

# 4
## LiGaRh2 (PBE)

Data for an optimized crystal structure of LiGaRh2.

Structure (extended XYZ):
```
8
Lattice="6.596 0.000 0.000 0.000 6.596 0.000 3.298 3.298 2.724" Properties=species:S:1:pos:R:3 pbc="T T T"
Rh 8.245 8.282 2.043
Rh 4.947 4.910 2.043
Rh 4.984 1.649 0.681
Rh 1.612 4.947 0.681
Li 3.298 6.596 1.362
Li 3.298 3.298 0.000
Ga 0.000 0.000 0.000
Ga 6.596 3.298 1.362
```

Properties
size of the total moment: 0.0 Bohr magnetons per cell
crystal system: tetragonal
final energy: -4.97 eV/atom
DFT formation energy: -61 meV per atom

***

# 5
## LiGa2Rh4 (PBE)

Data for an optimized crystal structure of LiGa2Rh4.

Structure (extended XYZ):
```
7
Lattice="4.799 -0.061 -1.726 -2.410 4.183 -1.648 -0.035 0.061 5.100" Properties=species:S:1:pos:R:3 pbc="T T T"
Rh -0.018 0.030 2.550
Rh 1.177 2.091 0.863
Rh -1.205 2.091 -0.824
Rh 2.400 -0.030 -0.863
Ga 2.382 0.000 1.687
Ga 1.195 2.061 -1.687
Li 0.000 0.000 0.000
```

Properties
size of the total moment: 0.0 Bohr magnetons per cell
crystal system: tetragonal
final energy: -5.60 eV/atom
DFT formation energy: -261 meV per atom

***

# 6
## LiGa3Rh (PBE)

Data for an optimized crystal structure of LiGa3Rh.

Structure (extended XYZ):
```
5
Lattice="4.779 0.000 0.000 0.000 4.779 0.000 0.000 0.000 4.779" Properties=species:S:1:pos:R:3 pbc="T T T"
Ga 2.390 0.000 0.000
Ga 0.000 0.000 2.390
Ga 0.000 2.390 0.000
Li 2.390 2.390 2.390
Rh 0.000 0.000 0.000
```

Properties
size of the total moment: 0.0 Bohr magnetons per cell
crystal system: cubic
final energy: -3.88 eV/atom
DFT formation energy: -207 meV per atom

***

# 7
## Li2Ga6Rh (PBE)

Data for an optimized crystal structure of Li2Ga6Rh.

Structure (extended XYZ):
```
9
Lattice="2.992 0.000 0.002 0.005 6.503 3.739 0.004 0.013 7.501" Properties=species:S:1:pos:R:3 pbc="T T T"
Ga 1.505 6.507 6.213
Ga 1.495 0.009 5.029
Ga 1.495 4.359 2.507
Ga 1.500 4.363 4.980
Ga 1.500 2.153 6.262
Ga 1.505 2.157 8.735
Rh 0.000 0.000 0.000
Li 2.997 4.344 7.496
Li 0.003 2.172 3.747
```

Properties
size of the total moment: 0.0 Bohr magnetons per cell
crystal system: hexagonal
final energy: -3.47 eV/atom
DFT formation energy: -215 meV per atom

***

# 8
## Li3Ga2Rh (PBE)

Data for an optimized crystal structure of Li3Ga2Rh.

Structure (extended XYZ):
```
12
Lattice="-3.457 -3.366 -1.282 1.838 -4.459 -1.289 -1.173 -5.719 6.038" Properties=species:S:1:pos:R:3 pbc="T T T"
Ga -3.787 -10.038 3.935
Ga -2.890 -5.684 2.555
Ga 0.996 -3.505 -0.469
Ga 0.099 -7.860 0.912
Rh -3.600 -4.826 0.227
Rh 0.809 -8.717 3.239
Li -1.624 -2.853 -0.271
Li -0.966 -5.370 0.223
Li -0.225 -6.122 2.745
Li -2.566 -7.421 0.721
Li -1.825 -8.173 3.243
Li -1.166 -10.691 3.737
```

Properties
size of the total moment: 0.0 Bohr magnetons per cell
crystal system: monoclinic
final energy: -3.56 eV/atom
DFT formation energy: -373 meV per atom

***

# 9
## Li6Ga12Rh (PBE)

Data for an optimized crystal structure of Li6Ga12Rh.

Structure (extended XYZ):
```
19
Lattice="-4.561 4.954 -1.116 -3.617 -4.863 -3.141 -2.273 -1.509 6.257" Properties=species:S:1:pos:R:3 pbc="T T T"
Ga -1.474 -0.950 1.849
Ga -5.934 -0.712 2.901
Ga -8.348 -2.837 1.760
Ga -4.272 0.985 1.580
Ga -6.180 -2.404 0.420
Ga -4.517 -0.706 -0.902
Ga -8.464 -0.194 3.024
Ga -8.977 -0.469 0.150
Ga -2.104 1.419 0.240
Ga -3.837 -1.992 1.738
Ga -1.987 -1.224 -1.024
Ga -6.614 0.574 0.262
Rh 0.000 0.000 0.000
Li -3.852 -3.431 -0.672
Li -7.052 -1.137 -1.928
Li -6.600 2.012 2.672
Li -4.660 2.095 -0.976
Li -5.792 -3.514 2.976
Li -3.399 -0.281 3.927
```

Properties
size of the total moment: 0.0 Bohr magnetons per cell
crystal system: trigonal
final energy: -3.18 eV/atom
DFT formation energy: -279 meV per atom

***

# 10
## LiGa3Rh2 (PBE)

Data for an optimized crystal structure of LiGa3Rh2.

Structure (extended XYZ):
```
12
Lattice="4.287 0.000 0.000 -2.144 3.713 0.000 0.000 0.000 10.528" Properties=species:S:1:pos:R:3 pbc="T T T"
Rh 0.000 2.475 1.769
Rh 2.144 1.238 8.759
Rh 0.000 0.000 5.264
Rh 0.000 0.000 0.000
Ga 0.000 2.475 4.382
Ga 2.144 1.238 6.147
Ga 0.000 0.000 2.639
Ga 0.000 0.000 7.889
Ga 0.000 2.475 9.648
Ga 2.144 1.238 0.880
Li 2.144 1.238 3.541
Li 0.000 2.475 6.987
```

Properties
size of the total moment: 0.0 Bohr magnetons per cell
crystal system: trigonal
final energy: -4.88 eV/atom
DFT formation energy: -599 meV per atom

***

# 11
## LiGa7Rh2 (PBE)

Data for an optimized crystal structure of LiGa7Rh2.

Structure (extended XYZ):
```
10
Lattice="-3.701 2.591 -1.567 0.553 -2.964 -6.205 -4.208 -3.443 4.246" Properties=species:S:1:pos:R:3 pbc="T T T"
Rh -4.677 -2.009 0.429
Rh -2.680 -1.808 -3.955
Ga -0.823 -3.102 -3.185
Ga -2.003 0.138 -2.335
Ga -2.833 -3.305 1.226
Ga -3.079 0.030 0.027
Ga -3.678 -1.908 -1.763
Ga -5.353 -3.955 -1.191
Ga -4.277 -3.846 -3.553
Li 0.000 0.000 0.000
```

Properties
size of the total moment: 0.0 Bohr magnetons per cell
crystal system: orthorhombic
final energy: -4.01 eV/atom
DFT formation energy: -225 meV per atom

***

# 12
## LiGa2Rh (PBE)

Data for an optimized crystal structure of LiGa2Rh.

Structure (extended XYZ):
```
4
Lattice="-1.369 2.862 -0.628 -2.763 -1.872 -2.506 -2.581 -0.525 3.238" Properties=species:S:1:pos:R:3 pbc="T T T"
Rh -3.357 0.233 0.052
Ga -1.382 -0.936 -1.253
Ga -1.291 -0.262 1.619
Li -0.685 1.431 -0.314
```

Properties
size of the total moment: 0.0 Bohr magnetons per cell
crystal system: tetragonal
final energy: -4.28 eV/atom
DFT formation energy: -454 meV per atom

***

Question: What is the size of the total moment in the seventh record?
Answer: 0.0 Bohr magnetons per cell

***

Question: What is the final energy in the sixth record?
Answer: -3.88 eV/atom

***

Question: Which of these has the lowest DFT formation energy?
Answer: LiGa6Rh5